No. 1
# PBE-GGA Y5Rh, optimized geometry
# - Formation enthalpy at 0 K: -0.149 eV/atom
# - Final energy: -6.761 eV/atom
data_Y5Rh
_chemical_formula_sum 'Y10 Rh2'
_space_group_name_H-M_alt 'C m m m'
_space_group_IT_number 65
_space_group_name_Hall '-C 2 2'
_cell_length_a 3.814
_cell_length_b 16.351
_cell_length_c 5.522
_cell_angle_alpha 90.00
_cell_angle_beta 90.00
_cell_angle_gamma 90.00
loop_
_atom_site_label
_atom_site_fract_x
_atom_site_fract_y
_atom_site_fract_z
Y1 0.000 0.000 0.000
Y2 0.000 0.130 0.500
Y3 0.000 0.331 0.000
Rh1 0.000 0.500 0.500

---

No. 2
# PBE-GGA Y5Rh3, optimized geometry
# - Offset from the most stable computed form: 31.7 meV per atom
# - Formation enthalpy at 0 K: -0.691 eV/atom
# - Final energy: -7.488 eV/atom
data_Y5Rh3
_chemical_formula_sum 'Y10 Rh6'
_space_group_name_H-M_alt 'P 63/m c m'
_space_group_IT_number 193
_space_group_name_Hall '-P 6c 2'
_cell_length_a 8.2883
_cell_length_b 8.2883
_cell_length_c 6.3391
_cell_angle_alpha 90.00
_cell_angle_beta 90.00
_cell_angle_gamma 120.00
loop_
_atom_site_label
_atom_site_fract_x
_atom_site_fract_y
_atom_site_fract_z
Y1 0.0000 0.2497 0.2500
Y2 0.3333 0.6667 0.0000
Rh1 0.0000 0.3980 0.7500

---

No. 3
# PBE-GGA YRh, optimized geometry
# - Formation enthalpy at 0 K: 0.027 eV/atom
# - Final energy: -6.880 eV/atom
data_YRh
_chemical_formula_sum 'Y8 Rh8'
_space_group_name_H-M_alt 'I -4 3 m'
_space_group_IT_number 217
_space_group_name_Hall 'I -4 2 3'
_cell_length_a 8.157
_cell_length_b 8.157
_cell_length_c 8.157
_cell_angle_alpha 90.00
_cell_angle_beta 90.00
_cell_angle_gamma 90.00
loop_
_atom_site_label
_atom_site_fract_x
_atom_site_fract_y
_atom_site_fract_z
Y1 0.203 0.203 0.203
Rh1 0.120 0.120 0.880

---

No. 4
# PBE-GGA YRh3, optimized geometry
# - Formation enthalpy at 0 K: -0.438 eV/atom
# - Final energy: -7.568 eV/atom
data_YRh3
_chemical_formula_sum 'Y4 Rh12'
_space_group_name_H-M_alt 'I 4/m m m'
_space_group_IT_number 139
_space_group_name_Hall '-I 4 2'
_cell_length_a 4.059
_cell_length_b 4.059
_cell_length_c 16.234
_cell_angle_alpha 90.00
_cell_angle_beta 90.00
_cell_angle_gamma 90.00
loop_
_atom_site_label
_atom_site_fract_x
_atom_site_fract_y
_atom_site_fract_z
Y1 0.000 0.000 0.122
Rh1 0.000 0.000 0.372
Rh2 0.000 0.500 0.000
Rh3 0.000 0.500 0.250

---

No. 5
# PBE-GGA Y5Rh3, optimized geometry
# - Offset from the most stable computed form: 19.8 meV per atom
# - Formation enthalpy at 0 K: -0.703 eV/atom
# - Final energy: -7.500 eV/atom
data_Y5Rh3
_chemical_formula_sum 'Y10 Rh6'
_space_group_name_H-M_alt 'P -1'
_space_group_IT_number 2
_space_group_name_Hall '-P 1'
_cell_length_a 6.298
_cell_length_b 7.509
_cell_length_c 8.634
_cell_angle_alpha 87.93
_cell_angle_beta 78.19
_cell_angle_gamma 78.67
loop_
_atom_site_label
_atom_site_fract_x
_atom_site_fract_y
_atom_site_fract_z
Y1 0.009 0.199 0.151
Y2 0.112 0.326 0.739
Y3 0.269 0.953 0.461
Y4 0.409 0.404 0.318
Y5 0.427 0.795 0.063
Rh1 0.044 0.667 0.546
Rh2 0.238 0.502 0.004
Rh3 0.378 0.971 0.772

---

No. 6
# PBE-GGA YRh3, optimized geometry
# - Formation enthalpy at 0 K: -0.120 eV/atom
# - Final energy: -7.250 eV/atom
data_YRh3
_chemical_formula_sum 'Y2 Rh6'
_space_group_name_H-M_alt 'P m -3 n'
_space_group_IT_number 223
_space_group_name_Hall '-P 4n 2 3'
_cell_length_a 5.188
_cell_length_b 5.188
_cell_length_c 5.188
_cell_angle_alpha 90.00
_cell_angle_beta 90.00
_cell_angle_gamma 90.00
loop_
_atom_site_label
_atom_site_fract_x
_atom_site_fract_y
_atom_site_fract_z
Y1 0.000 0.000 0.000
Rh1 0.000 0.250 0.500